w:
Computed, not measured: crystalline LaPu2Ni at its relaxed geometry at the PBE-GGA level of DFT.

Lattice parameters (Å, degrees): 3.5520 3.5520 29.6412 90.00 90.00 120.00
Space group R-3m (No. 166, hexagonal axes)
Symmetry-distinct sites (fractional):
La 0.0000 0.0000 0.0000 [3 per cell]
Pu 0.0000 0.0000 0.1066 [6 per cell]
Ni 0.0000 0.0000 0.5000 [3 per cell]

Calculated values
ρ (g cm⁻³): 10.55



x:
Computed, not measured: crystalline LaPu2Ni at its relaxed geometry at the PBE-GGA level of DFT.

Lattice parameters (Å, degrees): 3.517 3.517 7.945 90.00 90.00 90.00
Space group P4/mmm (No. 123)
Symmetry-distinct sites (fractional):
La 0.000 0.000 0.000 [1 per cell]
Pu 0.500 0.500 0.310 [2 per cell]
Ni 0.000 0.000 0.500 [1 per cell]

Calculated values
ρ (g cm⁻³): 11.59



If we sort the structures by their calculated energies, the order from most to least stable is x, w.